Computed, not measured: a relaxed TbH2Rh crystal at the GGA-PBE level of DFT.

Values from the calculation:
* offset from the most stable computed form: 0.46 eV/f.u.
* DOS at the Fermi energy: 0.9 states/eV/cell
* total energy: -5.19 eV/atom

CIF file:
```
data_TbH2Rh
_space_group_name_H-M_alt 'P 1'
_space_group_IT_number 1
_cell_length_a 4.529
_cell_length_b 4.529
_cell_length_c 4.529
_cell_angle_alpha 51.45
_cell_angle_beta 51.45
_cell_angle_gamma 51.45
loop_
_space_group_symop_operation_xyz
'x,y,z'
loop_
_atom_site_label
_atom_site_fract_x
_atom_site_fract_y
_atom_site_fract_z
_atom_site_occupancy
Tb1 0.000 0.000 0.000 1
H1 0.358 0.358 0.358 1
H2 0.642 0.642 0.642 1
Rh1 0.500 0.500 0.500 1
```


Computed, not measured: a relaxed TbH3Rh crystal at the GGA-PBE level of DFT.

Values from the calculation:
* DOS at the Fermi energy: 0.2 states/eV/cell
* total energy: -5.02 eV/atom

CIF file:
```
data_TbH3Rh
_space_group_name_H-M_alt 'P 1'
_space_group_IT_number 1
_cell_length_a 6.036
_cell_length_b 6.036
_cell_length_c 4.702
_cell_angle_alpha 90.94
_cell_angle_beta 90.94
_cell_angle_gamma 37.07
loop_
_space_group_symop_operation_xyz
'x,y,z'
loop_
_atom_site_label
_atom_site_fract_x
_atom_site_fract_y
_atom_site_fract_z
_atom_site_occupancy
Tb1 0.000 0.000 0.000 1
Tb2 0.736 0.736 0.511 1
H1 0.170 0.170 0.272 1
H2 0.178 0.178 0.755 1
H3 0.427 0.427 0.153 1
H4 0.557 0.557 0.749 1
H5 0.783 0.783 0.012 1
H6 0.946 0.946 0.508 1
Rh1 0.278 0.278 0.020 1
Rh2 0.442 0.442 0.515 1
```


Computed, not measured: a relaxed TbH7Rh2 crystal at the GGA-PBE level of DFT.

Values from the calculation:
* DOS at the Fermi energy: 1.6 states/eV/cell
* total energy: -4.57 eV/atom

CIF file:
```
data_TbH7Rh2
_space_group_name_H-M_alt 'P 1'
_space_group_IT_number 1
_cell_length_a 5.062
_cell_length_b 5.062
_cell_length_c 3.609
_cell_angle_alpha 90.00
_cell_angle_beta 90.00
_cell_angle_gamma 115.34
loop_
_space_group_symop_operation_xyz
'x,y,z'
loop_
_atom_site_label
_atom_site_fract_x
_atom_site_fract_y
_atom_site_fract_z
_atom_site_occupancy
Tb1 0.000 0.000 0.000 1
H1 0.055 0.323 0.500 1
H2 0.303 0.697 0.000 1
H3 0.323 0.055 0.500 1
H4 0.500 0.500 0.500 1
H5 0.677 0.945 0.500 1
H6 0.697 0.303 0.000 1
H7 0.945 0.677 0.500 1
Rh1 0.303 0.697 0.500 1
Rh2 0.697 0.303 0.500 1
```


Computed, not measured: a relaxed Tb2H7Rh2 crystal at the GGA-PBE level of DFT.

Values from the calculation:
* DOS at the Fermi energy: 4.7 states/eV/cell
* total energy: -4.69 eV/atom

CIF file:
```
data_Tb2H7Rh2
_space_group_name_H-M_alt 'P 1'
_space_group_IT_number 1
_cell_length_a 4.837
_cell_length_b 4.837
_cell_length_c 4.469
_cell_angle_alpha 90.00
_cell_angle_beta 90.00
_cell_angle_gamma 94.59
loop_
_space_group_symop_operation_xyz
'x,y,z'
loop_
_atom_site_label
_atom_site_fract_x
_atom_site_fract_y
_atom_site_fract_z
_atom_site_occupancy
Tb1 0.238 0.238 0.000 1
Tb2 0.762 0.762 0.000 1
H1 0.000 0.000 0.500 1
H2 0.000 0.500 0.300 1
H3 0.000 0.500 0.700 1
H4 0.500 0.000 0.300 1
H5 0.500 0.000 0.700 1
H6 0.500 0.500 0.289 1
H7 0.500 0.500 0.711 1
Rh1 0.263 0.737 0.500 1
Rh2 0.737 0.263 0.500 1
```


Computed, not measured: a relaxed TbH4Rh3 crystal at the GGA-PBE level of DFT.

Values from the calculation:
* DOS at the Fermi energy: 9.8 states/eV/cell
* total energy: -5.32 eV/atom

CIF file:
```
data_TbH4Rh3
_space_group_name_H-M_alt 'P 1'
_space_group_IT_number 1
_cell_length_a 5.400
_cell_length_b 5.400
_cell_length_c 5.400
_cell_angle_alpha 90.00
_cell_angle_beta 90.00
_cell_angle_gamma 90.00
loop_
_space_group_symop_operation_xyz
'x,y,z'
loop_
_atom_site_label
_atom_site_fract_x
_atom_site_fract_y
_atom_site_fract_z
_atom_site_occupancy
Tb1 0.000 0.000 0.000 1
Tb2 0.500 0.500 0.500 1
H1 0.250 0.250 0.250 1
H2 0.250 0.250 0.750 1
H3 0.250 0.750 0.250 1
H4 0.250 0.750 0.750 1
H5 0.750 0.250 0.250 1
H6 0.750 0.250 0.750 1
H7 0.750 0.750 0.250 1
H8 0.750 0.750 0.750 1
Rh1 0.000 0.250 0.500 1
Rh2 0.000 0.750 0.500 1
Rh3 0.250 0.500 0.000 1
Rh4 0.500 0.000 0.250 1
Rh5 0.500 0.000 0.750 1
Rh6 0.750 0.500 0.000 1
```


Computed, not measured: a relaxed TbZnH8Rh2 crystal at the GGA-PBE level of DFT.

Values from the calculation:
* DOS at the Fermi energy: 2.4 states/eV/cell
* total energy: -4.09 eV/atom

CIF file:
```
data_TbZnH8Rh2
_space_group_name_H-M_alt 'P 1'
_space_group_IT_number 1
_cell_length_a 6.102
_cell_length_b 6.102
_cell_length_c 6.102
_cell_angle_alpha 44.91
_cell_angle_beta 44.91
_cell_angle_gamma 44.91
loop_
_space_group_symop_operation_xyz
'x,y,z'
loop_
_atom_site_label
_atom_site_fract_x
_atom_site_fract_y
_atom_site_fract_z
_atom_site_occupancy
Tb1 0.000 0.000 0.000 1
Zn1 0.500 0.500 0.500 1
H1 0.119 0.409 0.785 1
H2 0.215 0.881 0.591 1
H3 0.315 0.315 0.315 1
H4 0.409 0.785 0.119 1
H5 0.591 0.215 0.881 1
H6 0.685 0.685 0.685 1
H7 0.785 0.119 0.409 1
H8 0.881 0.591 0.215 1
Rh1 0.216 0.216 0.216 1
Rh2 0.784 0.784 0.784 1
```


Computed, not measured: a relaxed Tc2HRh crystal at the GGA-PBE level of DFT.

Values from the calculation:
* offset from the most stable computed form: 1.07 eV/f.u.
* DOS at the Fermi energy: 6.5 states/eV/cell
* total energy: -7.64 eV/atom

CIF file:
```
data_Tc2HRh
_space_group_name_H-M_alt 'P 1'
_space_group_IT_number 1
_cell_length_a 5.003
_cell_length_b 5.003
_cell_length_c 5.003
_cell_angle_alpha 104.82
_cell_angle_beta 104.82
_cell_angle_gamma 119.23
loop_
_space_group_symop_operation_xyz
'x,y,z'
loop_
_atom_site_label
_atom_site_fract_x
_atom_site_fract_y
_atom_site_fract_z
_atom_site_occupancy
Tc1 0.029 0.125 0.404 1
Tc2 0.375 0.971 0.096 1
Tc3 0.721 0.625 0.596 1
Tc4 0.875 0.279 0.904 1
H1 0.000 0.000 0.000 1
H2 0.750 0.250 0.500 1
Rh1 0.250 0.750 0.500 1
Rh2 0.500 0.500 0.000 1
```


Computed, not measured: a relaxed TcHRh3 crystal at the GGA-PBE level of DFT.

Values from the calculation:
* offset from the most stable computed form: 8.60 eV/f.u.
* DOS at the Fermi energy: 4.0 states/eV/cell
* total energy: -5.39 eV/atom

CIF file:
```
data_TcHRh3
_space_group_name_H-M_alt 'P 1'
_space_group_IT_number 1
_cell_length_a 4.672
_cell_length_b 4.672
_cell_length_c 4.672
_cell_angle_alpha 90.00
_cell_angle_beta 90.00
_cell_angle_gamma 90.00
loop_
_space_group_symop_operation_xyz
'x,y,z'
loop_
_atom_site_label
_atom_site_fract_x
_atom_site_fract_y
_atom_site_fract_z
_atom_site_occupancy
Tc1 0.000 0.000 0.000 1
H1 0.500 0.500 0.500 1
Rh1 0.000 0.000 0.500 1
Rh2 0.000 0.500 0.000 1
Rh3 0.500 0.000 0.000 1
```


Computed, not measured: a relaxed TcH3Rh crystal at the GGA-PBE level of DFT.

Values from the calculation:
* offset from the most stable computed form: 0.00 eV/f.u.
* DOS at the Fermi energy: 2.2 states/eV/cell
* total energy: -5.23 eV/atom

CIF file:
```
data_TcH3Rh
_space_group_name_H-M_alt 'P 1'
_space_group_IT_number 1
_cell_length_a 3.386
_cell_length_b 3.386
_cell_length_c 3.386
_cell_angle_alpha 90.00
_cell_angle_beta 90.00
_cell_angle_gamma 90.00
loop_
_space_group_symop_operation_xyz
'x,y,z'
loop_
_atom_site_label
_atom_site_fract_x
_atom_site_fract_y
_atom_site_fract_z
_atom_site_occupancy
Tc1 0.000 0.000 0.000 1
H1 0.000 0.500 0.500 1
H2 0.500 0.000 0.500 1
H3 0.500 0.500 0.000 1
Rh1 0.500 0.500 0.500 1
```


Computed, not measured: a relaxed TcH2Rh2 crystal at the GGA-PBE level of DFT.

Values from the calculation:
* offset from the most stable computed form: 0.00 eV/f.u.
* DOS at the Fermi energy: 1.6 states/eV/cell
* total energy: -6.18 eV/atom

CIF file:
```
data_TcH2Rh2
_space_group_name_H-M_alt 'P 1'
_space_group_IT_number 1
_cell_length_a 4.829
_cell_length_b 4.829
_cell_length_c 4.829
_cell_angle_alpha 138.43
_cell_angle_beta 138.43
_cell_angle_gamma 60.24
loop_
_space_group_symop_operation_xyz
'x,y,z'
loop_
_atom_site_label
_atom_site_fract_x
_atom_site_fract_y
_atom_site_fract_z
_atom_site_occupancy
Tc1 0.000 0.000 0.000 1
H1 0.250 0.750 0.500 1
H2 0.750 0.250 0.500 1
Rh1 0.338 0.338 0.000 1
Rh2 0.662 0.662 0.000 1
```


Computed, not measured: a relaxed TcHRh2 crystal at the GGA-PBE level of DFT.

Values from the calculation:
* offset from the most stable computed form: 0.77 eV/f.u.
* DOS at the Fermi energy: 4.5 states/eV/cell
* total energy: -6.96 eV/atom

CIF file:
```
data_TcHRh2
_space_group_name_H-M_alt 'P 1'
_space_group_IT_number 1
_cell_length_a 2.719
_cell_length_b 2.719
_cell_length_c 6.311
_cell_angle_alpha 90.00
_cell_angle_beta 90.00
_cell_angle_gamma 90.00
loop_
_space_group_symop_operation_xyz
'x,y,z'
loop_
_atom_site_label
_atom_site_fract_x
_atom_site_fract_y
_atom_site_fract_z
_atom_site_occupancy
Tc1 0.000 0.000 0.000 1
H1 0.000 0.000 0.500 1
Rh1 0.500 0.500 0.295 1
Rh2 0.500 0.500 0.705 1
```


Computed, not measured: a relaxed Tc8H4Rh crystal at the GGA-PBE level of DFT.

Values from the calculation:
* DOS at the Fermi energy: 7.6 states/eV/cell
* total energy: -8.03 eV/atom

CIF file:
```
data_Tc8H4Rh
_space_group_name_H-M_alt 'P 1'
_space_group_IT_number 1
_cell_length_a 6.880
_cell_length_b 6.880
_cell_length_c 9.344
_cell_angle_alpha 127.81
_cell_angle_beta 127.81
_cell_angle_gamma 23.60
loop_
_space_group_symop_operation_xyz
'x,y,z'
loop_
_atom_site_label
_atom_site_fract_x
_atom_site_fract_y
_atom_site_fract_z
_atom_site_occupancy
Tc1 0.038 0.038 0.240 1
Tc2 0.298 0.298 0.426 1
Tc3 0.337 0.337 0.176 1
Tc4 0.375 0.375 0.909 1
Tc5 0.625 0.625 0.091 1
Tc6 0.663 0.663 0.824 1
Tc7 0.702 0.702 0.574 1
Tc8 0.962 0.962 0.760 1
H1 0.149 0.149 0.962 1
H2 0.331 0.331 0.665 1
H3 0.669 0.669 0.335 1
H4 0.851 0.851 0.038 1
Rh1 0.000 0.000 0.500 1
```


Computed, not measured: a relaxed Tc2HRh crystal at the GGA-PBE level of DFT.

Values from the calculation:
* offset from the most stable computed form: 3.33 eV/f.u.
* DOS at the Fermi energy: 6.3 states/eV/cell
* total energy: -7.07 eV/atom

CIF file:
```
data_Tc2HRh
_space_group_name_H-M_alt 'P 1'
_space_group_IT_number 1
_cell_length_a 4.170
_cell_length_b 4.170
_cell_length_c 4.170
_cell_angle_alpha 60.00
_cell_angle_beta 60.00
_cell_angle_gamma 60.00
loop_
_space_group_symop_operation_xyz
'x,y,z'
loop_
_atom_site_label
_atom_site_fract_x
_atom_site_fract_y
_atom_site_fract_z
_atom_site_occupancy
Tc1 0.250 0.250 0.250 1
Tc2 0.750 0.750 0.750 1
H1 0.000 0.000 0.000 1
Rh1 0.500 0.500 0.500 1
```


Computed, not measured: a relaxed TcH2Rh crystal at the GGA-PBE level of DFT.

Values from the calculation:
* offset from the most stable computed form: 0.47 eV/f.u.
* DOS at the Fermi energy: 3.1 states/eV/cell
* total energy: -5.88 eV/atom

CIF file:
```
data_TcH2Rh
_space_group_name_H-M_alt 'P 1'
_space_group_IT_number 1
_cell_length_a 5.199
_cell_length_b 5.199
_cell_length_c 5.199
_cell_angle_alpha 32.35
_cell_angle_beta 32.35
_cell_angle_gamma 32.35
loop_
_space_group_symop_operation_xyz
'x,y,z'
loop_
_atom_site_label
_atom_site_fract_x
_atom_site_fract_y
_atom_site_fract_z
_atom_site_occupancy
Tc1 0.000 0.000 0.000 1
H1 0.122 0.122 0.122 1
H2 0.878 0.878 0.878 1
Rh1 0.500 0.500 0.500 1
```


Computed, not measured: a relaxed Tc3HRh crystal at the GGA-PBE level of DFT.

Values from the calculation:
* offset from the most stable computed form: 12.46 eV/f.u.
* DOS at the Fermi energy: 14.4 states/eV/cell
* total energy: -5.87 eV/atom

CIF file:
```
data_Tc3HRh
_space_group_name_H-M_alt 'P 1'
_space_group_IT_number 1
_cell_length_a 4.715
_cell_length_b 4.715
_cell_length_c 4.715
_cell_angle_alpha 90.00
_cell_angle_beta 90.00
_cell_angle_gamma 90.00
loop_
_space_group_symop_operation_xyz
'x,y,z'
loop_
_atom_site_label
_atom_site_fract_x
_atom_site_fract_y
_atom_site_fract_z
_atom_site_occupancy
Tc1 0.000 0.000 0.500 1
Tc2 0.000 0.500 0.000 1
Tc3 0.500 0.000 0.000 1
H1 0.500 0.500 0.500 1
Rh1 0.000 0.000 0.000 1
```


Computed, not measured: a relaxed TcHRh3 crystal at the GGA-PBE level of DFT.

Values from the calculation:
* offset from the most stable computed form: 0.00 eV/f.u.
* DOS at the Fermi energy: 7.2 states/eV/cell
* total energy: -7.11 eV/atom

CIF file:
```
data_TcHRh3
_space_group_name_H-M_alt 'P 1'
_space_group_IT_number 1
_cell_length_a 3.900
_cell_length_b 3.900
_cell_length_c 3.900
_cell_angle_alpha 90.00
_cell_angle_beta 90.00
_cell_angle_gamma 90.00
loop_
_space_group_symop_operation_xyz
'x,y,z'
loop_
_atom_site_label
_atom_site_fract_x
_atom_site_fract_y
_atom_site_fract_z
_atom_site_occupancy
Tc1 0.000 0.000 0.000 1
H1 0.500 0.500 0.500 1
Rh1 0.000 0.500 0.500 1
Rh2 0.500 0.000 0.500 1
Rh3 0.500 0.500 0.000 1
```


Computed, not measured: a relaxed TcH2Rh crystal at the GGA-PBE level of DFT.

Values from the calculation:
* offset from the most stable computed form: 0.00 eV/f.u.
* DOS at the Fermi energy: 1.8 states/eV/cell
* total energy: -6.00 eV/atom

CIF file:
```
data_TcH2Rh
_space_group_name_H-M_alt 'P 1'
_space_group_IT_number 1
_cell_length_a 5.214
_cell_length_b 5.214
_cell_length_c 5.214
_cell_angle_alpha 31.32
_cell_angle_beta 31.32
_cell_angle_gamma 31.32
loop_
_space_group_symop_operation_xyz
'x,y,z'
loop_
_atom_site_label
_atom_site_fract_x
_atom_site_fract_y
_atom_site_fract_z
_atom_site_occupancy
Tc1 0.000 0.000 0.000 1
H1 0.587 0.587 0.587 1
H2 0.747 0.747 0.747 1
Rh1 0.180 0.180 0.180 1
```


Computed, not measured: a relaxed TcHRh2 crystal at the GGA-PBE level of DFT.

Values from the calculation:
* offset from the most stable computed form: 1.06 eV/f.u.
* DOS at the Fermi energy: 5.1 states/eV/cell
* total energy: -6.89 eV/atom

CIF file:
```
data_TcHRh2
_space_group_name_H-M_alt 'P 1'
_space_group_IT_number 1
_cell_length_a 5.001
_cell_length_b 5.001
_cell_length_c 5.001
_cell_angle_alpha 104.83
_cell_angle_beta 104.83
_cell_angle_gamma 119.22
loop_
_space_group_symop_operation_xyz
'x,y,z'
loop_
_atom_site_label
_atom_site_fract_x
_atom_site_fract_y
_atom_site_fract_z
_atom_site_occupancy
Tc1 0.000 0.000 0.000 1
Tc2 0.750 0.250 0.500 1
H1 0.250 0.750 0.500 1
H2 0.500 0.500 0.000 1
Rh1 0.227 0.625 0.102 1
Rh2 0.375 0.477 0.602 1
Rh3 0.523 0.125 0.898 1
Rh4 0.875 0.773 0.398 1
```


Computed, not measured: a relaxed Tc2HRh crystal at the GGA-PBE level of DFT.

Values from the calculation:
* offset from the most stable computed form: 1.53 eV/f.u.
* DOS at the Fermi energy: 3.8 states/eV/cell
* total energy: -7.52 eV/atom

CIF file:
```
data_Tc2HRh
_space_group_name_H-M_alt 'P 1'
_space_group_IT_number 1
_cell_length_a 7.418
_cell_length_b 7.418
_cell_length_c 7.418
_cell_angle_alpha 21.60
_cell_angle_beta 21.60
_cell_angle_gamma 21.60
loop_
_space_group_symop_operation_xyz
'x,y,z'
loop_
_atom_site_label
_atom_site_fract_x
_atom_site_fract_y
_atom_site_fract_z
_atom_site_occupancy
Tc1 0.117 0.117 0.117 1
Tc2 0.883 0.883 0.883 1
H1 0.500 0.500 0.500 1
Rh1 0.000 0.000 0.000 1
```


Computed, not measured: a relaxed Tc3HRh crystal at the GGA-PBE level of DFT.

Values from the calculation:
* offset from the most stable computed form: 0.00 eV/f.u.
* DOS at the Fermi energy: 5.7 states/eV/cell
* total energy: -8.36 eV/atom

CIF file:
```
data_Tc3HRh
_space_group_name_H-M_alt 'P 1'
_space_group_IT_number 1
_cell_length_a 3.910
_cell_length_b 3.910
_cell_length_c 3.910
_cell_angle_alpha 90.00
_cell_angle_beta 90.00
_cell_angle_gamma 90.00
loop_
_space_group_symop_operation_xyz
'x,y,z'
loop_
_atom_site_label
_atom_site_fract_x
_atom_site_fract_y
_atom_site_fract_z
_atom_site_occupancy
Tc1 0.000 0.000 0.500 1
Tc2 0.000 0.500 0.000 1
Tc3 0.500 0.000 0.000 1
H1 0.000 0.000 0.000 1
Rh1 0.500 0.500 0.500 1
```